The following is a DFT calculation (PBE) of a relaxed Ta2TiPbSe crystal.

Properties
**E_form (uncorrected)**: 1.280 eV/atom
**Volume**: 120.83 Å³/cell
**Total magnetic moment**: 0.000 μB per atom
**Space-group type**: P4/mmm
**D(E_F)**: 7.3 states/eV per cell

Cell and atoms, written as POSCAR:
```
Ta2TiPbSe
1.0
-0.734 4.073 -2.437
-5.010 -1.341 -0.733
-1.194 2.228 4.084
Se Ta Ti Pb
1 2 1 1
Direct
0.500 0.500 0.500 Se
0.000 0.000 0.500 Ta
0.500 0.000 0.000 Ta
0.000 0.000 0.000 Ti
0.000 0.500 0.000 Pb
```